1.
A relaxed structure of PrGdZnNi, computed with PBE-GGA.

Unit cell a=7.139 b=7.139 c=7.139 alpha=90.00 beta=90.00 gamma=90.00
Space group F-43m (No. 216)
Symmetry-distinct sites (fractional):
Pr  0.000  0.000  0.000 [4 per cell]
Gd  0.000  0.000  0.500 [4 per cell]
Zn  0.250  0.250  0.250 [4 per cell]
Ni  0.250  0.250  0.750 [4 per cell]

Calculated values
calculated volume: 91 Å³/f.u.
energy of formation: -258 meV/atom
spin magnetization: 28.63 μB per cell
calculated density: 7.7 g/cm³

2.
A relaxed structure of AlTl2Cr, computed with PBE-GGA.

Unit cell a=3.161 b=3.161 c=8.914 alpha=90.00 beta=90.00 gamma=90.00
Space group P4mm (No. 99)
Symmetry-distinct sites (fractional):
Al  0.000  0.000  0.000 [1 per cell]
Tl  0.000  0.000  0.388 [1 per cell]
Tl  0.500  0.500  0.717 [1 per cell]
Cr  0.500  0.500  0.156 [1 per cell]

Calculated values
calculated volume: 89 Å³/f.u.
energy of formation: 315 meV/atom
spin magnetization: 3.08 μB per cell
calculated density: 9.1 g/cm³
energy above the most stable polymorph in this dataset: 0.0 meV/atom

3.
A relaxed structure of TaVB, computed with PBE-GGA.

Unit cell a=3.234 b=14.658 c=3.100 alpha=90.00 beta=90.00 gamma=90.00
Space group Cmcm (No. 63)
Symmetry-distinct sites (fractional):
Ta  0.000  0.090  0.250 [4 per cell]
V  0.000  0.296  0.250 [4 per cell]
B  0.000  0.466  0.250 [4 per cell]

Calculated values
calculated volume: 37 Å³/f.u.
energy of formation: -537 meV/atom
spin magnetization: 0.00 μB per cell
calculated density: 11.0 g/cm³
energy above the most stable polymorph in this dataset: 44.3 meV/atom

4.
A relaxed structure of CaIrOs2, computed with PBE-GGA.

Unit cell a=4.110 b=4.110 c=7.706 alpha=90.00 beta=90.00 gamma=90.00
Space group I-4m2 (No. 119)
Symmetry-distinct sites (fractional):
Ca  0.000  0.000  0.000 [2 per cell]
Ir  0.000  0.500  0.750 [2 per cell]
Os  0.000  0.000  0.500 [2 per cell]
Os  0.000  0.500  0.250 [2 per cell]

Calculated values
calculated volume: 65 Å³/f.u.
energy of formation: 589 meV/atom
spin magnetization: 0.00 μB per cell
calculated density: 15.6 g/cm³
energy above the most stable polymorph in this dataset: 369.9 meV/atom

5.
A relaxed structure of NaSm3Ho2Te6, computed with PBE-GGA.

Unit cell a=19.294 b=4.394 c=8.879 alpha=90.00 beta=103.61 gamma=90.00
Space group C2/m (No. 12)
Symmetry-distinct sites (fractional):
Na  0.000  0.000  0.000 [2 per cell]
Sm  0.000  0.000  0.500 [2 per cell]
Sm  0.161  0.500  0.823 [4 per cell]
Ho  0.167  0.500  0.339 [4 per cell]
Te  0.005  0.500  0.248 [4 per cell]
Te  0.168  0.000  0.578 [4 per cell]
Te  0.169  0.000  0.089 [4 per cell]

Calculated values
calculated volume: 366 Å³/f.u.
raw formation energy: -15.97 eV per formula unit
spin magnetization: 0.00 μB per cell
calculated density: 7.1 g/cm³

6.
A relaxed structure of AcTi2Pt2, computed with PBE-GGA.

Unit cell a=4.471 b=4.471 c=10.851 alpha=90.00 beta=90.00 gamma=90.00
Space group I4/mmm (No. 139)
Symmetry-distinct sites (fractional):
Ac  0.000  0.000  0.000 [2 per cell]
Ti  0.000  0.500  0.250 [4 per cell]
Pt  0.000  0.000  0.370 [4 per cell]

Calculated values
calculated volume: 108 Å³/f.u.
energy of formation: -862 meV/atom
spin magnetization: 0.00 μB per cell
calculated density: 10.9 g/cm³

7.
A relaxed structure of Tl2InRe, computed with PBE-GGA.

Unit cell a=4.369 b=4.369 c=9.195 alpha=90.00 beta=90.00 gamma=90.00
Space group I4/mmm (No. 139)
Symmetry-distinct sites (fractional):
Tl  0.000  0.500  0.250 [4 per cell]
In  0.000  0.000  0.000 [2 per cell]
Re  0.000  0.000  0.500 [2 per cell]

Calculated values
calculated volume: 88 Å³/f.u.
energy of formation: 939 meV/atom
spin magnetization: 2.38 μB per cell
calculated density: 13.4 g/cm³
energy above the most stable polymorph in this dataset: 379.7 meV/atom

8.
A relaxed structure of NiBi3Cl, computed with PBE-GGA.

Unit cell a=5.441 b=5.441 c=5.441 alpha=90.00 beta=90.00 gamma=90.00
Space group Pm-3m (No. 221)
Symmetry-distinct sites (fractional):
Ni  0.000  0.000  0.000 [1 per cell]
Bi  0.000  0.500  0.500 [3 per cell]
Cl  0.500  0.500  0.500 [1 per cell]

Calculated values
calculated volume: 161 Å³/f.u.
raw formation energy: 5.38 eV per formula unit
spin magnetization: 0.00 μB per cell
calculated density: 7.4 g/cm³
energy above the most stable polymorph in this dataset: 870.2 meV/atom

9.
A relaxed structure of PmTm2Hg4, computed with PBE-GGA.

Unit cell a=7.158 b=10.602 c=5.112 alpha=90.00 beta=90.00 gamma=90.00
Space group Cmmm (No. 65)
Symmetry-distinct sites (fractional):
Pm  0.000  0.000  0.000 [2 per cell]
Tm  0.000  0.254  0.500 [4 per cell]
Hg  0.225  0.500  0.500 [4 per cell]
Hg  0.250  0.250  0.000 [4 per cell]

Calculated values
calculated volume: 194 Å³/f.u.
energy of formation: -370 meV/atom
spin magnetization: 0.00 μB per cell
calculated density: 11.0 g/cm³

10.
A relaxed structure of Tb2Y3TmAs6, computed with PBE-GGA.

Unit cell a=17.951 b=4.120 c=8.235 alpha=90.00 beta=103.24 gamma=90.00
Space group C2/m (No. 12)
Symmetry-distinct sites (fractional):
Tb  0.166  0.000  0.333 [4 per cell]
Y  0.000  0.500  0.500 [2 per cell]
Y  0.167  0.000  0.834 [4 per cell]
Tm  0.000  0.500  0.000 [2 per cell]
As  0.000  0.000  0.247 [4 per cell]
As  0.165  0.500  0.082 [4 per cell]
As  0.167  0.500  0.584 [4 per cell]

Calculated values
calculated volume: 296 Å³/f.u.
energy of formation: -1542 meV/atom
spin magnetization: 0.00 μB per cell
calculated density: 6.7 g/cm³

11.
A relaxed structure of ScSb2Pd4, computed with PBE-GGA.

Unit cell a=4.868 b=4.868 c=13.499 alpha=90.00 beta=90.00 gamma=90.00
Space group I4/mmm (No. 139)
Symmetry-distinct sites (fractional):
Sc  0.000  0.000  0.000 [2 per cell]
Sb  0.000  0.000  0.381 [4 per cell]
Pd  0.000  0.000  0.183 [4 per cell]
Pd  0.000  0.500  0.000 [4 per cell]

Calculated values
calculated volume: 160 Å³/f.u.
raw formation energy: 0.34 eV per formula unit
spin magnetization: 0.00 μB per cell
calculated density: 7.4 g/cm³

12.
A relaxed structure of V15Ga2W2, computed with PBE-GGA.

Unit cell a=8.5288 b=8.5288 c=13.3407 alpha=90.00 beta=90.00 gamma=120.00
Space group R-3m (No. 166, hexagonal axes)
Symmetry-distinct sites (fractional):
V  0.0000  0.2941  0.0000 [18 per cell]
V  0.0000  0.5000  0.5000 [9 per cell]
V  0.0246  0.5123  0.1380 [18 per cell]
Ga  0.0000  0.0000  0.3093 [6 per cell]
W  0.0000  0.0000  0.0983 [6 per cell]

Calculated values
calculated volume: 280 Å³/f.u.
energy of formation: 265 meV/atom
spin magnetization: 0.00 μB per cell
calculated density: 7.5 g/cm³

13.
A relaxed structure of SrSc6O8, computed with PBE-GGA.

Unit cell a=9.2352 b=9.2352 c=9.5711 alpha=90.00 beta=90.00 gamma=120.00
Space group R-3 (No. 148, hexagonal axes)
Symmetry-distinct sites (fractional):
Sr  0.0000  0.0000  0.0000 [3 per cell]
Sc  0.0169  0.1999  0.6307 [18 per cell]
O  0.0000  0.0000  0.2490 [6 per cell]
O  0.0204  0.2634  0.4160 [18 per cell]

Calculated values
calculated volume: 236 Å³/f.u.
raw formation energy: -45.19 eV per formula unit
spin magnetization: 0.00 μB per cell
calculated density: 3.4 g/cm³

14.
A relaxed structure of LaNdSc, computed with PBE-GGA.

Unit cell a=3.612 b=3.612 c=14.752 alpha=90.00 beta=90.00 gamma=90.00
Space group I4mm (No. 107)
Symmetry-distinct sites (fractional):
La  0.000  0.000  0.000 [2 per cell]
Nd  0.000  0.000  0.681 [2 per cell]
Sc  0.000  0.000  0.339 [2 per cell]

Calculated values
calculated volume: 96 Å³/f.u.
energy of formation: 67 meV/atom
spin magnetization: 0.00 μB per cell
calculated density: 5.7 g/cm³
energy above the most stable polymorph in this dataset: 11.3 meV/atom

15.
A relaxed structure of Hf2RuW, computed with PBE-GGA.

Unit cell a=4.663 b=4.663 c=3.261 alpha=90.00 beta=90.00 gamma=90.00
Space group P4/mmm (No. 123)
Symmetry-distinct sites (fractional):
Hf  0.000  0.500  0.000 [2 per cell]
Ru  0.000  0.000  0.500 [1 per cell]
W  0.500  0.500  0.500 [1 per cell]

Calculated values
calculated volume: 71 Å³/f.u.
energy of formation: -292 meV/atom
spin magnetization: 0.00 μB per cell
calculated density: 15.0 g/cm³

16.
A relaxed structure of ScIn2SiP, computed with PBE-GGA.

Unit cell a=5.550 b=5.550 c=5.011 alpha=90.00 beta=90.00 gamma=90.00
Space group P4/mmm (No. 123)
Symmetry-distinct sites (fractional):
Sc  0.000  0.000  0.000 [1 per cell]
In  0.000  0.500  0.000 [2 per cell]
Si  0.000  0.000  0.500 [1 per cell]
P  0.500  0.500  0.500 [1 per cell]

Calculated values
calculated volume: 154 Å³/f.u.
raw formation energy: 5.05 eV per formula unit
spin magnetization: 0.00 μB per cell
calculated density: 3.6 g/cm³

17.
A relaxed structure of CrIrSe, computed with PBE-GGA.

Unit cell a=2.948 b=4.771 c=14.409 alpha=90.00 beta=90.00 gamma=90.00
Space group Fmm2 (No. 42)
Symmetry-distinct sites (fractional):
Cr  0.000  0.000  0.000 [4 per cell]
Ir  0.000  0.000  0.639 [4 per cell]
Se  0.000  0.000  0.362 [4 per cell]

Calculated values
calculated volume: 51 Å³/f.u.
raw formation energy: 1.27 eV per formula unit
spin magnetization: 11.06 μB per cell
calculated density: 10.6 g/cm³
energy above the most stable polymorph in this dataset: 326.0 meV/atom

18.
A relaxed structure of SbSeI2F, computed with PBE-GGA.

Unit cell a=5.921 b=5.921 c=4.207 alpha=90.00 beta=90.00 gamma=90.00
Space group P4/mmm (No. 123)
Symmetry-distinct sites (fractional):
Sb  0.000  0.000  0.000 [1 per cell]
Se  0.500  0.500  0.000 [1 per cell]
I  0.000  0.500  0.500 [2 per cell]
F  0.000  0.000  0.500 [1 per cell]

Calculated values
calculated volume: 147 Å³/f.u.
raw formation energy: 0.41 eV per formula unit
spin magnetization: 0.88 μB per cell
calculated density: 5.3 g/cm³
energy above the most stable polymorph in this dataset: 0.0 meV/atom

19.
A relaxed structure of YVTcMo2, computed with PBE-GGA.

Unit cell a=4.611 b=4.611 c=4.618 alpha=90.00 beta=90.00 gamma=90.00
Space group P4/mmm (No. 123)
Symmetry-distinct sites (fractional):
Y  0.000  0.000  0.000 [1 per cell]
V  0.500  0.500  0.500 [1 per cell]
Tc  0.500  0.500  0.000 [1 per cell]
Mo  0.000  0.500  0.500 [2 per cell]

Calculated values
calculated volume: 98 Å³/f.u.
energy of formation: 773 meV/atom
spin magnetization: 1.06 μB per cell
calculated density: 7.3 g/cm³

20.
A relaxed structure of Th4ScHg5, computed with PBE-GGA.

Unit cell a=3.477 b=3.477 c=21.734 alpha=90.00 beta=90.00 gamma=90.00
Space group P4/mmm (No. 123)
Symmetry-distinct sites (fractional):
Th  0.000  0.000  0.105 [2 per cell]
Th  0.000  0.000  0.313 [2 per cell]
Sc  0.000  0.000  0.500 [1 per cell]
Hg  0.500  0.500  0.000 [1 per cell]
Hg  0.500  0.500  0.209 [2 per cell]
Hg  0.500  0.500  0.419 [2 per cell]

Calculated values
calculated volume: 263 Å³/f.u.
energy of formation: -265 meV/atom
spin magnetization: 0.15 μB per cell
calculated density: 12.5 g/cm³